VASP calculation (PBE) on an optimized crystal structure of ScMo2Ru.

a = 5.393 Å, b = 5.393 Å, c = 5.393 Å
α = 139.42°, β = 139.42°, γ = 58.74°
Positions (direct):
Sc  0.000  0.000  0.000
Mo  0.250  0.750  0.500
Mo  0.750  0.250  0.500
Ru  0.500  0.500  0.000

Output
total DFT energy (no corrections)	-37.1	eV per cell
SG	I4/mmm
energy of formation	0.04	eV per atom
spin magnetization	0.00	μB/f.u.
energy above the most stable polymorph in this dataset	0.147	eV per atom